Here is an optimized crystal structure of Er12Tm5Zr2 from Alexandria. Energies are from GGA-PBE.

Calculated values
- energy of formation (eV per atom) = 0.172
- total moment (μB/f.u.) = 0.0
- volume (Å³ per cell) = 577
- final energy (eV per atom) = -4.79
- DOS at the Fermi energy (states/eV/cell) = 26.1
- space-group type = C2/m (12)

abc: 9.6389 9.6389 9.3772
angles: 107.56 107.56 44.46
With the nearest neighbours (Å) after each atom.
Sites, in units of the cell vectors:
Er 0.0056 0.0056 0.1842  2 Zr 3.26, 5 Er 3.29-3.42
Er 0.0942 0.5902 0.9925  5 Tm 3.33-3.64, 6 Er 3.34-3.68
Er 0.0978 0.5886 0.6218  5 Er 3.29-3.58, 1 Zr 3.40, 4 Tm 3.45-3.64
Er 0.4098 0.9058 0.0075  5 Tm 3.33-3.64, 6 Er 3.34-3.68
Er 0.4114 0.9022 0.3782  5 Er 3.29-3.58, 1 Zr 3.40, 4 Tm 3.45-3.64
Er 0.4814 0.4814 0.3088  2 Zr 2.92, 2 Tm 3.02-3.21
Er 0.5186 0.5186 0.6912  2 Zr 2.92, 2 Tm 3.02-3.21
Er 0.5886 0.0978 0.6218  5 Er 3.29-3.58, 1 Zr 3.40, 4 Tm 3.45-3.64
Er 0.5902 0.0942 0.9925  5 Tm 3.33-3.64, 6 Er 3.34-3.68
Er 0.9022 0.4114 0.3782  5 Er 3.29-3.58, 1 Zr 3.40, 4 Tm 3.45-3.64
Er 0.9058 0.4098 0.0075  5 Tm 3.33-3.64, 6 Er 3.34-3.68
Er 0.9944 0.9944 0.8158  2 Zr 3.26, 5 Er 3.29-3.42
Tm 0.1863 0.1863 0.7101  2 Zr 3.51, 9 Er 3.51-3.86, 2 Tm 3.66
Tm 0.2979 0.2979 0.2870  9 Er 3.21-3.60
Tm 0.5000 0.5000 0.0000  6 Er 3.02-3.33
Tm 0.7021 0.7021 0.7130  9 Er 3.21-3.60
Tm 0.8137 0.8137 0.2899  2 Zr 3.51, 9 Er 3.51-3.86, 2 Tm 3.66
Zr 0.1760 0.8240 0.5000  1 Zr 2.57
Zr 0.8240 0.1760 0.5000  1 Zr 2.57